A relaxed DyPaSb crystal, computed with GGA-PBE.

Cell lengths 7.071, 7.071, 7.071 Å; angles 90.00, 90.00, 90.00 degrees
Fractional coordinates of all 12 atoms:
Dy 0.000 0.000 0.000
Dy 0.000 0.500 0.500
Dy 0.500 0.000 0.500
Dy 0.500 0.500 0.000
Pa 0.250 0.250 0.750
Pa 0.250 0.750 0.250
Pa 0.750 0.250 0.250
Pa 0.750 0.750 0.750
Sb 0.250 0.250 0.250
Sb 0.250 0.750 0.750
Sb 0.750 0.250 0.750
Sb 0.750 0.750 0.250

Summary:
Total magnetic moment (μB/f.u.): 0.2
Calculated volume (Å³ per cell): 353.5
Total energy (eV per atom): -5.59

=====

A relaxed SmDyPa crystal, computed with GGA-PBE.

Cell lengths 7.486, 7.486, 7.486 Å; angles 90.00, 90.00, 90.00 degrees
Fractional coordinates of all 12 atoms:
Sm 0.000 0.000 0.000
Sm 0.000 0.500 0.500
Sm 0.500 0.000 0.500
Sm 0.500 0.500 0.000
Dy 0.250 0.250 0.750
Dy 0.250 0.750 0.250
Dy 0.750 0.250 0.250
Dy 0.750 0.750 0.750
Pa 0.000 0.000 0.500
Pa 0.000 0.500 0.000
Pa 0.500 0.000 0.000
Pa 0.500 0.500 0.500

Summary:
Energy relative to the elements (eV/f.u.): 3.3
Total magnetic moment (μB/f.u.): 2.4
Excess energy over the best structure of this formula in the dataset (meV per atom): 0
Calculated volume (Å³ per cell): 419.5

=====

A relaxed DyPaTa crystal, computed with GGA-PBE.

Cell lengths 6.915, 6.915, 6.915 Å; angles 90.00, 90.00, 90.00 degrees
Fractional coordinates of all 12 atoms:
Dy 0.000 0.000 0.000
Dy 0.000 0.500 0.500
Dy 0.500 0.000 0.500
Dy 0.500 0.500 0.000
Pa 0.250 0.250 0.250
Pa 0.250 0.750 0.750
Pa 0.750 0.250 0.750
Pa 0.750 0.750 0.250
Ta 0.000 0.000 0.500
Ta 0.000 0.500 0.000
Ta 0.500 0.000 0.000
Ta 0.500 0.500 0.500

Summary:
Energy relative to the elements (eV/f.u.): 3.9
Total magnetic moment (μB/f.u.): 0.2
Excess energy over the best structure of this formula in the dataset (meV per atom): 0
Calculated volume (Å³ per cell): 330.6

=====

A relaxed TbDyPa crystal, computed with GGA-PBE.

Cell lengths 7.425, 7.425, 7.425 Å; angles 90.00, 90.00, 90.00 degrees
Fractional coordinates of all 12 atoms:
Tb 0.000 0.000 0.000
Tb 0.000 0.500 0.500
Tb 0.500 0.000 0.500
Tb 0.500 0.500 0.000
Dy 0.250 0.250 0.750
Dy 0.250 0.750 0.250
Dy 0.750 0.250 0.250
Dy 0.750 0.750 0.750
Pa 0.000 0.000 0.500
Pa 0.000 0.500 0.000
Pa 0.500 0.000 0.000
Pa 0.500 0.500 0.500

Summary:
Energy relative to the elements (eV/f.u.): 3.3
Total magnetic moment (μB/f.u.): 2.6
Excess energy over the best structure of this formula in the dataset (meV per atom): 0
Calculated volume (Å³ per cell): 409.4

=====

A relaxed DyPaTc2 crystal, computed with GGA-PBE.

Cell lengths 3.422, 3.422, 6.948 Å; angles 90.00, 90.00, 90.00 degrees
Fractional coordinates of all 4 atoms:
Dy 0.000 0.000 0.000
Pa 0.000 0.000 0.500
Tc 0.500 0.500 0.280
Tc 0.500 0.500 0.720

Summary:
Energy relative to the elements (eV/f.u.): -0.9
Total magnetic moment (μB/f.u.): 0.0
Calculated volume (Å³ per cell): 81.4

=====

A relaxed DyPaTe crystal, computed with GGA-PBE.

Cell lengths 7.210, 7.210, 7.210 Å; angles 90.00, 90.00, 90.00 degrees
Fractional coordinates of all 12 atoms:
Dy 0.000 0.000 0.000
Dy 0.000 0.500 0.500
Dy 0.500 0.000 0.500
Dy 0.500 0.500 0.000
Pa 0.000 0.000 0.500
Pa 0.000 0.500 0.000
Pa 0.500 0.000 0.000
Pa 0.500 0.500 0.500
Te 0.250 0.250 0.250
Te 0.250 0.750 0.750
Te 0.750 0.250 0.750
Te 0.750 0.750 0.250

Summary:
Total magnetic moment (μB/f.u.): 2.4
Excess energy over the best structure of this formula in the dataset (meV per atom): 0
Calculated volume (Å³ per cell): 374.8